DFT (PBE+U) results for crystalline CrO2 at its relaxed geometry.

Unit cell a=4.834 b=4.834 c=4.834 alpha=90.00 beta=90.00 gamma=90.00
Positions (direct):
Cr1 0.000 0.000 0.000
Cr2 0.000 0.500 0.500
Cr3 0.500 0.000 0.500
Cr4 0.500 0.500 0.000
O1 0.137 0.637 0.863
O2 0.137 0.863 0.363
O3 0.363 0.137 0.863
O4 0.363 0.363 0.363
O5 0.637 0.637 0.637
O6 0.637 0.863 0.137
O7 0.863 0.137 0.637
O8 0.863 0.363 0.137

Properties
As for the symmetry: Pa-3 (205). Its total energy is -21.95 eV/f.u.